Entry w
Entry from Alexandria: a geometry-optimized MoPt3Se structure (PBE).

Summary:
Magnetic moment, μB per atom: 0.777

a = 4.673 Å, b = 4.673 Å, c = 4.673 Å
α = 90.00°, β = 90.00°, γ = 90.00°
Positions (direct):
Mo 0.500 0.500 0.500
Se 0.000 0.000 0.000
Pt 0.000 0.500 0.000
Pt 0.000 0.000 0.500
Pt 0.500 0.000 0.000

***

Entry x
Entry from Alexandria: a geometry-optimized MoPt3Se structure (PBE).

Summary:
Magnetic moment, μB per atom: 0.000

a = 4.830 Å, b = 4.830 Å, c = 4.830 Å
α = 90.00°, β = 90.00°, γ = 90.00°
Positions (direct):
Mo 0.000 0.000 0.000
Se 0.500 0.500 0.500
Pt 0.000 0.500 0.000
Pt 0.000 0.000 0.500
Pt 0.500 0.000 0.000

***

Computed relative energies in units of meV per atom: entry w 0; entry x 343

***

Entry w
Entry from Alexandria: a geometry-optimized SiMo3Pt structure (PBE).

Summary:
Magnetic moment, μB per atom: 0.404

a = 4.782 Å, b = 4.782 Å, c = 4.782 Å
α = 90.00°, β = 90.00°, γ = 90.00°
Positions (direct):
Mo 0.000 0.500 0.000
Mo 0.000 0.000 0.500
Mo 0.500 0.000 0.000
Si 0.500 0.500 0.500
Pt 0.000 0.000 0.000

***

Entry x
Entry from Alexandria: a geometry-optimized SiMo3Pt structure (PBE).

Summary:
Magnetic moment, μB per atom: 0.000

a = 4.439 Å, b = 4.439 Å, c = 4.439 Å
α = 90.00°, β = 90.00°, γ = 90.00°
Positions (direct):
Mo 0.000 0.500 0.000
Mo 0.000 0.000 0.500
Mo 0.500 0.000 0.000
Si 0.000 0.000 0.000
Pt 0.500 0.500 0.500

***

Computed relative energies in units of meV per atom: entry w 956; entry x 0

***

Entry w
Entry from Alexandria: a geometry-optimized Sn2Mo2Pt structure (PBE).

Summary:
Magnetic moment, μB per atom: 0.000

a = 7.829 Å, b = 7.829 Å, c = 3.142 Å
α = 90.00°, β = 90.00°, γ = 90.00°
Positions (direct):
Mo 0.110 0.610 0.500
Mo 0.610 0.890 0.500
Mo 0.890 0.390 0.500
Mo 0.390 0.110 0.500
Sn 0.318 0.818 0.000
Sn 0.818 0.682 0.000
Sn 0.682 0.182 0.000
Sn 0.182 0.318 0.000
Pt 0.000 0.000 0.000
Pt 0.500 0.500 0.000

***

Entry x
Entry from Alexandria: a geometry-optimized Sn2Mo2Pt structure (PBE).

Summary:
Magnetic moment, μB per atom: 0.000

a = 3.512 Å, b = 3.512 Å, c = 8.656 Å
α = 78.29°, β = 78.29°, γ = 90.00°
Positions (direct):
Mo 0.750 0.250 0.500
Mo 0.250 0.750 0.500
Sn 0.400 0.400 0.200
Sn 0.600 0.600 0.800
Pt 0.000 0.000 0.000

***

Computed relative energies in units of meV per atom: entry w 0; entry x 88